# 1
Computed, not measured: a geometry-optimized Ho2Zr2Tl3 structure at the GGA-PBE level of DFT.

## Properties
Magnetic moment in μB per cell: 0.000
Uncorrected energy in eV per atom: -4.818
Formation energy in meV per atom: -54

a = 4.6096 Å, b = 23.1897 Å, c = 3.3214 Å
α = 90.00°, β = 90.00°, γ = 90.00°
Space group Cmmm (No. 65)
Symmetry-distinct sites (fractional):
Ho 0.0000 0.0739 0.0000 x4
Zr 0.0000 0.2091 0.0000 x4
Tl 0.0000 0.3446 0.5000 x4
Tl 0.0000 0.5000 0.5000 x2

# 2
Computed, not measured: a geometry-optimized Ho5ZrTl4 structure at the GGA-PBE level of DFT.

## Properties
Magnetic moment in μB per cell: 0.163
Uncorrected energy in eV per atom: -4.343
Formation energy in meV per atom: -252

a = 3.5612 Å, b = 3.5612 Å, c = 21.3229 Å
α = 90.00°, β = 90.00°, γ = 90.00°
Space group P4/mmm (No. 123)
Symmetry-distinct sites (fractional):
Ho 0.0000 0.0000 0.0000 x1
Ho 0.0000 0.0000 0.1992 x2
Ho 0.0000 0.0000 0.3975 x2
Zr 0.5000 0.5000 0.5000 x1
Tl 0.5000 0.5000 0.0993 x2
Tl 0.5000 0.5000 0.2972 x2

# 3
Computed, not measured: a geometry-optimized HoZrTl2 structure at the GGA-PBE level of DFT.

## Properties
Magnetic moment in μB per cell: 0.002
Uncorrected energy in eV per atom: -4.589
Formation energy in meV per atom: -124

a = 3.8137 Å, b = 3.8137 Å, c = 6.8581 Å
α = 90.00°, β = 90.00°, γ = 90.00°
Space group P4/mmm (No. 123)
Symmetry-distinct sites (fractional):
Ho 0.0000 0.0000 0.0000 x1
Zr 0.0000 0.0000 0.5000 x1
Tl 0.5000 0.5000 0.2607 x2

# 4
Computed, not measured: a geometry-optimized Ho2ZrTl3 structure at the GGA-PBE level of DFT.

## Properties
Magnetic moment in μB per cell: 0.003
Uncorrected energy in eV per atom: -4.342
Formation energy in meV per atom: -208

a = 3.5049 Å, b = 3.5049 Å, c = 12.4546 Å
α = 90.00°, β = 90.00°, γ = 90.00°
Space group P4/mmm (No. 123)
Symmetry-distinct sites (fractional):
Ho 0.0000 0.0000 0.1705 x2
Zr 0.0000 0.0000 0.5000 x1
Tl 0.5000 0.5000 0.0000 x1
Tl 0.5000 0.5000 0.3411 x2

# 5
Computed, not measured: a geometry-optimized Ho12ZrTl3 structure at the GGA-PBE level of DFT.

## Properties
Magnetic moment in μB per cell: 0.005
Uncorrected energy in eV per atom: -4.530
Formation energy in meV per atom: -119

a = 4.8142 Å, b = 4.8142 Å, c = 19.5798 Å
α = 90.00°, β = 90.00°, γ = 90.00°
Space group P4/mmm (No. 123)
Symmetry-distinct sites (fractional):
Ho 0.0000 0.0000 0.0000 x1
Ho 0.0000 0.0000 0.2482 x2
Ho 0.0000 0.0000 0.5000 x1
Ho 0.0000 0.5000 0.1244 x4
Ho 0.0000 0.5000 0.3765 x4
Zr 0.5000 0.5000 0.5000 x1
Tl 0.5000 0.5000 0.0000 x1
Tl 0.5000 0.5000 0.2463 x2

# 6
Computed, not measured: a geometry-optimized HoZrTl3 structure at the GGA-PBE level of DFT.

## Properties
Magnetic moment in μB per cell: 0.000
Uncorrected energy in eV per atom: -3.971
Formation energy in meV per atom: 74

a = 7.3548 Å, b = 12.7236 Å, c = 5.9914 Å
α = 90.00°, β = 90.00°, γ = 90.00°
Space group Cmcm (No. 63)
Symmetry-distinct sites (fractional):
Ho 0.0000 0.1665 0.2500 x4
Zr 0.0000 0.5000 0.0000 x4
Tl 0.0000 0.3023 0.7500 x4
Tl 0.2036 0.0987 0.7500 x8

# 7
Computed, not measured: a geometry-optimized HoZrTl2 structure at the GGA-PBE level of DFT.

## Properties
Magnetic moment in μB per cell: 0.009
Uncorrected energy in eV per atom: -4.605
Formation energy in meV per atom: -140

a = 4.8016 Å, b = 4.8016 Å, c = 4.2984 Å
α = 90.00°, β = 90.00°, γ = 90.00°
Space group P4/mmm (No. 123)
Symmetry-distinct sites (fractional):
Ho 0.0000 0.0000 0.0000 x1
Zr 0.5000 0.5000 0.0000 x1
Tl 0.0000 0.5000 0.5000 x2

# 8
Computed, not measured: a geometry-optimized Ho6Tm5 structure at the GGA-PBE level of DFT.

## Properties
Magnetic moment in μB per cell: 0.000
Uncorrected energy in eV per atom: -4.386
Formation energy in meV per atom: 143

a = 9.0555 Å, b = 12.8246 Å, c = 6.1662 Å
α = 90.00°, β = 107.62°, γ = 90.00°
Space group C2/m (No. 12)
Symmetry-distinct sites (fractional):
Ho 0.1693 0.0000 0.1806 x4
Ho 0.1808 0.1342 0.6669 x8
Tm 0.0000 0.2408 0.0000 x4
Tm 0.0000 0.3722 0.5000 x4
Tm 0.0000 0.5000 0.0000 x2

# 9
Computed, not measured: a geometry-optimized Ho4Tm structure at the GGA-PBE level of DFT.

## Properties
Offset from the most stable computed form in meV per atom: 0.0
Magnetic moment in μB per cell: 0.000
Uncorrected energy in eV per atom: -4.534
Formation energy in meV per atom: 23

a = 6.0770 Å, b = 3.5130 Å, c = 14.4200 Å
α = 90.00°, β = 97.93°, γ = 90.00°
Space group C2/m (No. 12)
Symmetry-distinct sites (fractional):
Ho 0.1005 0.0000 0.3009 x4
Ho 0.2005 0.5000 0.1003 x4
Tm 0.0000 0.5000 0.5000 x2

# 10
Computed, not measured: a geometry-optimized Ho8Tm3 structure at the GGA-PBE level of DFT.

## Properties
Offset from the most stable computed form in meV per atom: 550.5
Magnetic moment in μB per cell: 0.000
Uncorrected energy in eV per atom: -3.975
Formation energy in meV per atom: 574

a = 9.4587 Å, b = 9.4587 Å, c = 13.6345 Å
α = 90.00°, β = 90.00°, γ = 120.00°
Space group R-3 (No. 148, hexagonal axes)
Symmetry-distinct sites (fractional):
Ho 0.0000 0.0000 0.1100 x6
Ho 0.0440 0.2344 0.6129 x18
Tm 0.0000 0.5000 0.5000 x9

# 11
Computed, not measured: a geometry-optimized Ho4Tm structure at the GGA-PBE level of DFT.

## Properties
Offset from the most stable computed form in meV per atom: 359.0
Magnetic moment in μB per cell: 0.104
Uncorrected energy in eV per atom: -4.175
Formation energy in meV per atom: 382

a = 4.4436 Å, b = 4.4436 Å, c = 16.5350 Å
α = 90.00°, β = 90.00°, γ = 90.00°
Space group I4/mmm (No. 139)
Symmetry-distinct sites (fractional):
Ho 0.0000 0.0000 0.0936 x4
Ho 0.0000 0.5000 0.2500 x4
Tm 0.0000 0.0000 0.5000 x2

# 12
Computed, not measured: a geometry-optimized HoTm structure at the GGA-PBE level of DFT.

## Properties
Offset from the most stable computed form in meV per atom: 84.3
Magnetic moment in μB per cell: 0.000
Uncorrected energy in eV per atom: -4.391
Formation energy in meV per atom: 134

a = 3.9501 Å, b = 3.9501 Å, c = 3.9501 Å
α = 90.00°, β = 90.00°, γ = 90.00°
Space group Pm-3m (No. 221)
Symmetry-distinct sites (fractional):
Ho 0.0000 0.0000 0.0000 x1
Tm 0.5000 0.5000 0.5000 x1